1.
Material: SrTe2P
Method: DFT, PBE
State: optimized geometry

Cell lengths 4.1752, 5.7587, 9.4883 Å; angles 90.00, 90.00, 90.00 degrees
With the nearest neighbours (Å) after each atom.
Space group Imm2 (No. 44)
Asymmetric unit:
1 Sr 0.0000 0.0000 0.0000  4 P 3.40-3.54, 8 Te 3.48-3.58
2 Te 0.0000 0.0000 0.4587  2 P 2.67
3 Te 0.0000 0.5000 0.2055  2 Te 3.14, 4 Sr 3.48-3.49
4 P 0.0000 0.5000 0.7824  2 Te 2.67

Values from the calculation:
Raw formation energy: -0.444 eV per atom
Energy: -3.788 eV per atom

=====

2.
Material: Hf2MnRu2
Method: DFT, PBE
State: optimized geometry

Cell lengths 6.3308, 6.3308, 4.2330 Å; angles 90.00, 90.00, 90.00 degrees
With the nearest neighbours (Å) after each atom.
Space group P4/mbm (No. 127)
Asymmetric unit:
1 Hf 0.1775 0.3225 0.0000  6 Ru 2.65-2.94
2 Mn 0.0000 0.0000 0.5000  4 Ru 2.43
3 Ru 0.1437 0.6437 0.5000  2 Mn 2.43, 1 Ru 2.57, 2 Hf 2.65

Values from the calculation:
Formation enthalpy at 0 K: -185 meV/atom
Energy: -9.711 eV per atom

=====

3.
Material: La2MgAs3Rh4
Method: DFT, PBE
State: optimized geometry

Cell lengths 4.1613, 4.1613, 10.9654 Å; angles 90.00, 90.00, 90.00 degrees
With the nearest neighbours (Å) after each atom.
Space group P-4m2 (No. 115)
Asymmetric unit:
1 La 0.0000 0.5000 0.2473  8 Rh 3.16-3.42, 6 As 3.21-3.47, 2 Mg 3.47
2 Mg 0.0000 0.0000 0.5000  4 Rh 2.63, 4 As 2.94
3 As 0.0000 0.5000 0.8698  5 Rh 2.44-2.52
4 As 0.5000 0.5000 0.5000  4 Rh 2.63, 4 Mg 2.94
5 Rh 0.0000 0.0000 0.0000  4 As 2.52
6 Rh 0.0000 0.5000 0.6474  3 As 2.44-2.63, 2 Mg 2.63
7 Rh 0.5000 0.5000 0.0000  4 As 2.52

Values from the calculation:
Formation enthalpy at 0 K: -936 meV/atom
Energy: -6.416 eV per atom

=====

4.
Material: LiGd2Sc
Method: DFT, PBE
State: optimized geometry

Cell lengths 3.6307, 3.6307, 8.2902 Å; angles 90.00, 90.00, 90.00 degrees
With the nearest neighbours (Å) after each atom.
Space group P4/mmm (No. 123)
Asymmetric unit:
1 Li 0.0000 0.0000 0.0000  8 Gd 3.25, 4 Li 3.63
2 Gd 0.5000 0.5000 0.2407  4 Li 3.25, 4 Sc 3.35, 4 Gd 3.63
3 Sc 0.0000 0.0000 0.5000  8 Gd 3.35, 4 Sc 3.63

Values from the calculation:
Formation enthalpy at 0 K: 82 meV/atom
Energy: -9.020 eV per atom

=====

5.
Material: K7Cd2Hg2
Method: DFT, PBE
State: optimized geometry

Cell lengths 9.8344, 15.8025, 7.7070 Å; angles 90.00, 99.88, 90.00 degrees
With the nearest neighbours (Å) after each atom.
Space group C2/m (No. 12)
Asymmetric unit:
1 K 0.0000 0.0000 0.0000  2 Cd 3.60, 2 K 3.93
2 K 0.1677 0.5000 0.2188  2 Cd 3.57-3.66, 2 Hg 3.64, 1 K 3.93
3 K 0.1739 0.2165 0.2544  2 Hg 3.61-3.66, 1 Cd 3.71, 1 K 3.97
4 Cd 0.1778 0.5000 0.6955  2 Hg 3.01
5 Hg 0.0000 0.3640 0.5000  2 Cd 3.01

Values from the calculation:
Formation enthalpy at 0 K: -59 meV/atom
Energy: -0.978 eV per atom

=====

6.
Material: SmErIn2Se4
Method: DFT, PBE
State: optimized geometry

Cell lengths 7.2336, 4.1750, 8.1054 Å; angles 90.00, 107.29, 90.00 degrees
With the nearest neighbours (Å) after each atom.
Space group P2/m (No. 10)
Asymmetric unit:
1 Sm 0.0000 0.0000 0.0000  6 Se 2.93-2.94
2 Er 0.5000 0.5000 0.0000  6 Se 2.87-2.88
3 In 0.0000 0.5000 0.5000  6 Se 3.32
4 In 0.5000 0.0000 0.5000  6 Se 3.27
5 Se 0.2440 0.5000 0.2115  1 Er 2.87, 2 Sm 2.93
6 Se 0.2706 0.0000 0.7920  2 Er 2.88, 1 Sm 2.94

Values from the calculation:
Raw formation energy: -1.293 eV per atom
Energy: -4.880 eV per atom

=====

7.
Material: La2EuTc
Method: DFT, PBE
State: optimized geometry

Cell lengths 3.5778, 3.5778, 9.7960 Å; angles 90.00, 90.00, 90.00 degrees
With the nearest neighbours (Å) after each atom.
Space group P4/mmm (No. 123)
Asymmetric unit:
1 La 0.0000 0.0000 0.1767  4 Tc 3.07
2 Eu 0.5000 0.5000 0.5000  4 Eu 3.58
3 Tc 0.5000 0.5000 0.0000  8 La 3.07

Values from the calculation:
Formation enthalpy at 0 K: 81 meV/atom
Energy: -7.543 eV per atom

=====

8.
Material: PuBiHRh
Method: DFT, PBE
State: optimized geometry

Cell lengths 4.3139, 4.3139, 7.7697 Å; angles 90.00, 90.00, 90.00 degrees
With the nearest neighbours (Å) after each atom.
Space group P4/nmm (No. 129, origin choice 2)
Asymmetric unit:
1 Pu 0.2500 0.2500 0.1432  4 H 2.43
2 Bi 0.2500 0.2500 0.7105  4 Rh 2.71
3 H 0.2500 0.7500 0.0000  4 Pu 2.43
4 Rh 0.2500 0.7500 0.5000  4 Bi 2.71

Values from the calculation:
Energy: -7.575 eV per atom

=====

9.
Material: TaTe2I2
Method: DFT, PBE
State: optimized geometry

Cell lengths 7.4344, 7.4344, 7.0990 Å; angles 90.00, 90.00, 90.00 degrees
With the nearest neighbours (Å) after each atom.
Space group P4/mbm (No. 127)
Asymmetric unit:
1 Ta 0.0000 0.0000 0.0000  4 I 2.75
2 Te 0.1254 0.3746 0.5000  1 Te 2.64
3 I 0.1724 0.6724 0.0000  2 Ta 2.75

Values from the calculation:
Raw formation energy: 0.574 eV per atom
Energy: -3.673 eV per atom

=====

10.
Material: AlSbW
Method: DFT, PBE
State: optimized geometry

Cell lengths 3.1989, 3.1989, 6.4730 Å; angles 90.00, 90.00, 120.00 degrees
With the nearest neighbours (Å) after each atom.
Space group P3m1 (No. 156)
Asymmetric unit:
1 Al 0.0000 0.0000 0.0000  3 W 2.68
2 Sb 0.3333 0.6667 0.3835  3 W 2.76
3 W 0.6667 0.3333 0.6996  3 Al 2.68, 3 Sb 2.76

Values from the calculation:
Raw formation energy: 0.319 eV per atom
Energy: -6.620 eV per atom

=====

11.
Material: KHfRe2Cl
Method: DFT, PBE
State: optimized geometry

Cell lengths 4.5453, 4.5453, 4.8177 Å; angles 90.00, 90.00, 90.00 degrees
With the nearest neighbours (Å) after each atom.
Space group P4/mmm (No. 123)
Asymmetric unit:
1 K 0.0000 0.0000 0.0000  4 Hf 3.21, 8 Re 3.31
2 Hf 0.5000 0.5000 0.0000  2 Cl 2.41
3 Re 0.0000 0.5000 0.5000  2 Cl 2.27
4 Cl 0.5000 0.5000 0.5000  4 Re 2.27, 2 Hf 2.41

Values from the calculation:
Raw formation energy: 1.580 eV per atom
Energy: -5.979 eV per atom

=====

12.
Material: Li2YCu9
Method: DFT, PBE
State: optimized geometry

Cell lengths 8.3065, 8.3065, 4.9086 Å; angles 90.00, 90.00, 90.00 degrees
With the nearest neighbours (Å) after each atom.
Space group P4/mbm (No. 127)
Asymmetric unit:
1 Li 0.1141 0.3859 0.0000  1 Li 2.68, 12 Cu 2.68-2.89
2 Y 0.0000 0.0000 0.0000  16 Cu 3.05-3.27, 4 Li 3.34
3 Cu 0.0000 0.5000 0.5000  8 Cu 2.47-2.48
4 Cu 0.0606 0.2089 0.5000  8 Cu 2.47-2.71
5 Cu 0.1812 0.6812 0.2426  7 Cu 2.38-2.54

Values from the calculation:
Formation enthalpy at 0 K: -116 meV/atom
Energy: -4.046 eV per atom

=====

Repeat the twelfth record exactly.
Material: Li2YCu9
Method: DFT, PBE
State: optimized geometry

Cell lengths 8.3065, 8.3065, 4.9086 Å; angles 90.00, 90.00, 90.00 degrees
With the nearest neighbours (Å) after each atom.
Space group P4/mbm (No. 127)
Asymmetric unit:
1 Li 0.1141 0.3859 0.0000  1 Li 2.68, 12 Cu 2.68-2.89
2 Y 0.0000 0.0000 0.0000  16 Cu 3.05-3.27, 4 Li 3.34
3 Cu 0.0000 0.5000 0.5000  8 Cu 2.47-2.48
4 Cu 0.0606 0.2089 0.5000  8 Cu 2.47-2.71
5 Cu 0.1812 0.6812 0.2426  7 Cu 2.38-2.54

Values from the calculation:
Formation enthalpy at 0 K: -116 meV/atom
Energy: -4.046 eV per atom

=====

Q: Number 6 is which compound?
A: SmErIn2Se4